No. 1
The following is a DFT calculation (GGA-PBE) of a geometry-optimized La2CdAuBr structure.

```
La2CdAuBr
1.0
5.859 0.000 0.000
0.000 5.859 0.000
0.000 0.000 5.196
La Cd Au Br
2 1 1 1
direct
0.000 0.500 0.000
0.500 0.000 0.000
0.000 0.000 0.500
0.000 0.000 0.000
0.500 0.500 0.500
```

Computed properties:
- Final energy: -17.790 eV for the cell shown
- Space-group type: P4/mmm
- Total magnetization: 0.0 μB/f.u.

***

No. 2
The following is a DFT calculation (GGA-PBE) of a geometry-optimized Li2CdAuBr structure.

```
Li2CdAuBr
1.0
4.550 0.000 0.000
0.000 4.550 0.000
0.000 0.000 6.423
Li Cd Au Br
2 1 1 1
direct
0.000 0.500 0.000
0.500 0.000 0.000
0.000 0.000 0.500
0.500 0.500 0.500
0.500 0.500 0.000
```

Computed properties:
- Final energy: -10.765 eV for the cell shown
- Space-group type: P4/mmm
- Total magnetization: 0.0 μB/f.u.

***

No. 3
The following is a DFT calculation (GGA-PBE) of a geometry-optimized CdPbAu2Br structure.

```
CdPbAu2Br
1.0
5.261 0.000 0.000
0.000 5.261 0.000
0.000 0.000 5.470
Cd Pb Au Br
1 1 2 1
direct
0.000 0.000 0.000
0.500 0.500 0.500
0.000 0.500 0.000
0.500 0.000 0.000
0.000 0.000 0.500
```

Computed properties:
- Final energy: -11.636 eV for the cell shown
- Space-group type: P4/mmm
- Total magnetization: 0.0 μB/f.u.

***

No. 4
The following is a DFT calculation (GGA-PBE) of a geometry-optimized Rb2CdAu2Br6 structure.

```
Rb2CdAu2Br6
1.0
7.372 -3.860 0.000
7.372 3.860 0.000
-4.335 0.000 6.762
Rb Cd Au Br
2 1 2 6
direct
0.241 0.241 0.262
0.759 0.759 0.738
0.000 0.000 0.500
0.434 0.434 0.090
0.566 0.566 0.910
0.185 0.697 0.676
0.236 0.236 0.818
0.303 0.815 0.324
0.697 0.185 0.676
0.764 0.764 0.182
0.815 0.303 0.324
```

Computed properties:
- Final energy: -28.671 eV for the cell shown
- Space-group type: C2/m
- Total magnetization: 0.0 μB/f.u.

***

No. 5
The following is a DFT calculation (GGA-PBE) of a geometry-optimized CdAuSe2Br structure.

```
CdAuSe2Br
1.0
5.161 0.000 0.000
0.000 5.161 0.000
0.000 0.000 5.199
Cd Au Se Br
1 1 2 1
direct
0.000 0.000 0.000
0.500 0.500 0.500
0.000 0.500 0.500
0.500 0.000 0.500
0.500 0.500 0.000
```

Computed properties:
- Space-group type: P4/mmm
- ΔE to the lowest computed polymorph: 0.0 kJ per mole of atoms
- Total magnetization: 0.0 μB/f.u.

***

No. 6
The following is a DFT calculation (GGA-PBE) of a geometry-optimized TlCd2AuBr structure.

```
TlCd2AuBr
1.0
5.340 0.000 0.000
0.000 5.340 0.000
0.000 0.000 5.771
Tl Cd Au Br
1 2 1 1
direct
0.000 0.000 0.000
0.000 0.500 0.500
0.500 0.000 0.500
0.000 0.000 0.500
0.500 0.500 0.000
```

Computed properties:
- Final energy: -10.216 eV for the cell shown
- Space-group type: P4/mmm
- Total magnetization: 0.0 μB/f.u.

***

No. 7
The following is a DFT calculation (GGA-PBE) of a geometry-optimized Tl2CdAuBr structure.

```
Tl2CdAuBr
1.0
5.674 0.000 0.000
0.000 5.674 0.000
0.000 0.000 5.332
Tl Cd Au Br
2 1 1 1
direct
0.000 0.500 0.000
0.500 0.000 0.000
0.000 0.000 0.500
0.000 0.000 0.000
0.500 0.500 0.500
```

Computed properties:
- Final energy: -11.846 eV for the cell shown
- Space-group type: P4/mmm
- Total magnetization: 0.0 μB/f.u.

***

No. 8
The following is a DFT calculation (GGA-PBE) of a geometry-optimized Ce4AuBr5 structure.

```
Ce4AuBr5
1.0
10.349 -2.030 0.000
10.349 2.030 0.000
-1.400 0.000 7.630
Ce Au Br
4 1 5
direct
0.061 0.061 0.309
0.383 0.383 0.203
0.617 0.617 0.797
0.939 0.939 0.691
0.500 0.500 0.500
0.171 0.171 0.083
0.181 0.181 0.593
0.500 0.500 0.000
0.819 0.819 0.407
0.829 0.829 0.917
```

Computed properties:
- Final energy: -48.064 eV for the cell shown
- Space-group type: C2/m
- Total magnetization: 5.4 μB/f.u.